## Li2Ag2F7 (PBE-GGA)

Data for Li2Ag2F7 after structural relaxation.

- Formation energy without anion corrections: -1.710 eV per atom
- VASP energy: -3.767 eV per atom

a b c (Å): 5.542 5.542 6.251
angles (deg): 101.13 101.13 105.44
Fractional coordinates of all 11 atoms:
Li 0.161 0.839 0.000
Li 0.839 0.161 0.000
Ag 0.347 0.347 0.733
Ag 0.653 0.653 0.267
F 0.126 0.577 0.748
F 0.182 0.182 0.958
F 0.423 0.874 0.252
F 0.500 0.500 0.500
F 0.577 0.126 0.748
F 0.818 0.818 0.042
F 0.874 0.423 0.252

***

## LiAg2F6 (PBE-GGA)

Data for LiAg2F6 after structural relaxation.

- Formation energy without anion corrections: -1.475 eV per atom
- Relative energy among the computed polymorphs: 0.019 eV per atom
- VASP energy: -3.568 eV per atom

a b c (Å): 4.922 4.922 10.201
angles (deg): 90.00 90.00 90.00
Fractional coordinates of all 18 atoms:
Li 0.000 0.500 0.249
Li 0.500 0.000 0.751
Ag 0.000 0.500 0.584
Ag 0.000 0.500 0.916
Ag 0.500 0.000 0.084
Ag 0.500 0.000 0.416
F 0.197 0.697 0.079
F 0.198 0.698 0.420
F 0.201 0.701 0.750
F 0.299 0.201 0.250
F 0.302 0.198 0.580
F 0.303 0.197 0.921
F 0.697 0.803 0.921
F 0.698 0.802 0.580
F 0.701 0.799 0.250
F 0.799 0.299 0.750
F 0.802 0.302 0.420
F 0.803 0.303 0.079